(1)
## Cu2Sn (PBE)

Data for a relaxed structure of Cu2Sn.

a = 3.925 Å, b = 3.925 Å, c = 6.342 Å
α = 90.00°, β = 90.00°, γ = 90.00°
Space group P4/nmm (No. 129, origin choice 2)
Symmetry-distinct sites (fractional):
Cu1 0.250 0.250 0.238 [2 per cell]
Cu2 0.250 0.750 0.500 [2 per cell]
Sn1 0.250 0.250 0.816 [2 per cell]

Output
**Energy relative to the elements**: -0.001 eV per formula unit
**Total moment**: 0.0 μB per formula unit
**Energy**: -0.1494 hartree per atom

(2)
## Cu17Sn2 (PBE)

Data for a relaxed structure of Cu17Sn2.

a = 8.4488 Å, b = 8.4488 Å, c = 12.5418 Å
α = 90.00°, β = 90.00°, γ = 120.00°
Space group R-3m (No. 166, hexagonal axes)
Symmetry-distinct sites (fractional):
Cu1 0.0000 0.0000 0.0985 [6 per cell]
Cu2 0.0000 0.3008 0.0000 [18 per cell]
Cu3 0.0000 0.5000 0.5000 [9 per cell]
Cu4 0.0009 0.5004 0.1535 [18 per cell]
Sn1 0.0000 0.0000 0.3390 [6 per cell]

Output
**Energy relative to the elements**: 1.393 eV per formula unit
**Total moment**: 0.0 μB per formula unit
**Energy**: -0.1475 hartree per atom

(3)
## CuSn4 (PBE)

Data for a relaxed structure of CuSn4.

a = 5.136 Å, b = 5.136 Å, c = 5.136 Å
α = 90.00°, β = 90.00°, γ = 90.00°
Space group Pm-3m (No. 221)
Symmetry-distinct sites (fractional):
Cu1 0.000 0.000 0.000 [1 per cell]
Sn1 0.000 0.000 0.500 [3 per cell]
Sn2 0.500 0.500 0.500 [1 per cell]

Output
**Energy relative to the elements**: 1.236 eV per formula unit
**Total moment**: 0.0 μB per formula unit
**Energy**: -0.1387 hartree per atom

(4)
## CuSn3 (PBE)

Data for a relaxed structure of CuSn3.

a = 3.389 Å, b = 4.438 Å, c = 12.825 Å
α = 90.00°, β = 90.00°, γ = 90.00°
Space group Immm (No. 71)
Symmetry-distinct sites (fractional):
Cu1 0.000 0.000 0.000 [2 per cell]
Sn1 0.000 0.000 0.500 [2 per cell]
Sn2 0.000 0.500 0.318 [4 per cell]

Output
**Energy relative to the elements**: 0.389 eV per formula unit
**Total moment**: 0.0 μB per formula unit
**Distance to the lowest polymorph of the same formula**: 4 meV per atom
**Energy**: -0.1444 hartree per atom

(5)
## CuSn3 (PBE)

Data for a relaxed structure of CuSn3.

a = 4.600 Å, b = 4.600 Å, c = 9.024 Å
α = 90.00°, β = 90.00°, γ = 90.00°
Space group I4/mmm (No. 139)
Symmetry-distinct sites (fractional):
Cu1 0.000 0.000 0.000 [2 per cell]
Sn1 0.000 0.000 0.500 [2 per cell]
Sn2 0.000 0.500 0.250 [4 per cell]

Output
**Energy relative to the elements**: 0.897 eV per formula unit
**Total moment**: 0.0 μB per formula unit
**Distance to the lowest polymorph of the same formula**: 131 meV per atom
**Energy**: -0.1397 hartree per atom

(6)
## Cu23Sn6 (PBE)

Data for a relaxed structure of Cu23Sn6.

a = 11.942 Å, b = 11.942 Å, c = 11.942 Å
α = 90.00°, β = 90.00°, γ = 90.00°
Space group Fm-3m (No. 225)
Symmetry-distinct sites (fractional):
Cu1 0.000 0.000 0.000 [4 per cell]
Cu2 0.000 0.250 0.250 [24 per cell]
Cu3 0.120 0.120 0.120 [32 per cell]
Cu4 0.172 0.172 0.328 [32 per cell]
Sn1 0.000 0.000 0.282 [24 per cell]

Output
**Energy relative to the elements**: 0.860 eV per formula unit
**Total moment**: 0.0 μB per formula unit
**Energy**: -0.1487 hartree per atom

(7)
## Cu2Sn3 (PBE)

Data for a relaxed structure of Cu2Sn3.

a = 11.196 Å, b = 6.928 Å, c = 6.590 Å
α = 90.00°, β = 121.64°, γ = 90.00°
Space group C2/c (No. 15)
Symmetry-distinct sites (fractional):
Cu1 0.080 0.250 0.170 [8 per cell]
Sn1 0.000 0.103 0.750 [4 per cell]
Sn2 0.176 0.427 0.601 [8 per cell]

Output
**Energy relative to the elements**: 0.229 eV per formula unit
**Total moment**: 0.0 μB per formula unit
**Energy**: -0.1468 hartree per atom

(8)
## CuSn4 (PBE)

Data for a relaxed structure of CuSn4.

a = 6.414 Å, b = 6.414 Å, c = 5.996 Å
α = 90.00°, β = 90.00°, γ = 90.00°
Space group P4/nbm (No. 125, origin choice 2)
Symmetry-distinct sites (fractional):
Cu1 0.250 0.250 0.000 [2 per cell]
Sn1 0.068 0.568 0.261 [8 per cell]

Output
**Energy relative to the elements**: 0.110 eV per formula unit
**Total moment**: 0.0 μB per formula unit
**Energy**: -0.1470 hartree per atom

(9)
## Cu2Sn (PBE)

Data for a relaxed structure of Cu2Sn.

a = 3.472 Å, b = 3.472 Å, c = 8.018 Å
α = 90.00°, β = 90.00°, γ = 90.00°
Space group I4/mmm (No. 139)
Symmetry-distinct sites (fractional):
Cu1 0.000 0.000 0.170 [4 per cell]
Sn1 0.000 0.000 0.500 [2 per cell]

Output
**Energy relative to the elements**: 0.276 eV per formula unit
**Total moment**: 0.0 μB per formula unit
**Energy**: -0.1460 hartree per atom

(10)
## CuSn2 (PBE)

Data for a relaxed structure of CuSn2.

a = 6.142 Å, b = 6.142 Å, c = 3.948 Å
α = 90.00°, β = 90.00°, γ = 90.00°
Space group P4_2/mnm (No. 136)
Symmetry-distinct sites (fractional):
Cu1 0.000 0.000 0.000 [2 per cell]
Sn1 0.204 0.204 0.500 [4 per cell]

Output
**Energy relative to the elements**: 0.448 eV per formula unit
**Total moment**: 0.0 μB per formula unit
**Energy**: -0.1428 hartree per atom

(11)
## CuSn3 (PBE)

Data for a relaxed structure of CuSn3.

a = 6.2331 Å, b = 6.2331 Å, c = 5.9036 Å
α = 90.00°, β = 90.00°, γ = 120.00°
Space group P6_322 (No. 182)
Symmetry-distinct sites (fractional):
Cu1 0.3333 0.6667 0.2500 [2 per cell]
Sn1 0.0000 0.2998 0.0000 [6 per cell]

Output
**Energy relative to the elements**: 0.373 eV per formula unit
**Total moment**: 0.0 μB per formula unit
**Distance to the lowest polymorph of the same formula**: 0 meV per atom
**Energy**: -0.1445 hartree per atom

(12)
## CuSn6 (PBE)

Data for a relaxed structure of CuSn6.

a = 8.123 Å, b = 8.123 Å, c = 8.123 Å
α = 90.00°, β = 90.00°, γ = 90.00°
Space group Im-3m (No. 229)
Symmetry-distinct sites (fractional):
Cu1 0.000 0.000 0.000 [2 per cell]
Sn1 0.000 0.250 0.500 [12 per cell]

Output
**Energy relative to the elements**: 3.660 eV per formula unit
**Total moment**: 0.0 μB per formula unit
**Energy**: -0.1284 hartree per atom

| no. | calculated volume (A^3/atom) |
| --- | --- |
| 1 | 16.3 |
| 2 | 13.6 |
| 3 | 27.1 |
| 4 | 24.1 |
| 5 | 23.9 |
| 6 | 14.7 |
| 7 | 21.8 |
| 8 | 24.7 |
| 9 | 16.1 |
| 10 | 24.8 |
| 11 | 24.8 |
| 12 | 38.3 |